i | Material: BaMnSe
Method: DFT, PBE
State: relaxed

Cell and atoms, written as POSCAR:
```
BaMnSe
1.0
0.000 3.712 3.712
3.712 0.000 3.712
3.712 3.712 0.000
Ba Mn Se
1 1 1
direct
0.000 0.000 0.000
0.500 0.500 0.500
0.750 0.750 0.750
```

Total magnetic moment: 4.93 μB per cell
Symmetry: No. 216
DOS(E_F): 3.228 states/eV/f.u.

---

ii | Material: BaMnSe
Method: DFT, PBE
State: relaxed

Cell and atoms, written as POSCAR:
```
BaMnSe
1.0
0.000 3.839 3.839
3.839 0.000 3.839
3.839 3.839 0.000
Ba Mn Se
1 1 1
direct
0.000 0.000 0.000
0.250 0.250 0.250
0.750 0.750 0.750
```

Total magnetic moment: 5.00 μB per cell
Symmetry: No. 216
DOS(E_F): 2.119 states/eV/f.u.

---

Stability summary: most stable i, least stable ii.

---

i | Material: BaMnSe
Method: DFT, PBE
State: relaxed

Cell and atoms, written as POSCAR:
```
BaMnSe
1.0
4.391 0.000 0.000
-2.195 3.803 0.000
0.000 0.000 4.902
Ba Mn Se
1 1 1
direct
0.000 0.000 0.000
0.667 0.333 0.500
0.333 0.667 0.500
```

Total magnetic moment: 3.23 μB per cell
Symmetry: No. 187
DOS(E_F): 3.070 states/eV/f.u.

---

ii | Material: BaMnSe
Method: DFT, PBE
State: relaxed

Cell and atoms, written as POSCAR:
```
BaMnSe
1.0
-1.895 1.895 5.872
1.895 -1.895 5.872
1.895 1.895 -5.872
Ba Mn Se
1 1 1
direct
0.000 0.000 0.000
0.288 0.288 0.000
0.703 0.703 0.000
```

Total magnetic moment: 4.91 μB per cell
Symmetry: No. 107
DOS(E_F): 1.792 states/eV/f.u.

---

Stability summary: most stable i, least stable ii.

---

i | Material: BaSr2Mn
Method: DFT, PBE
State: relaxed

Cell and atoms, written as POSCAR:
```
BaSr2Mn
1.0
0.000 4.338 4.338
4.338 0.000 4.338
4.338 4.338 0.000
Ba Sr Mn
1 2 1
direct
0.000 0.000 0.000
0.250 0.250 0.250
0.750 0.750 0.750
0.500 0.500 0.500
```

Total magnetic moment: 4.15 μB per cell
Symmetry: No. 225
DOS(E_F): 6.056 states/eV/f.u.

---

ii | Material: BaSr2Mn
Method: DFT, PBE
State: relaxed

Cell and atoms, written as POSCAR:
```
BaSr2Mn
1.0
-3.117 3.117 4.396
3.117 -3.117 4.396
3.117 3.117 -4.396
Ba Sr Mn
1 2 1
direct
0.000 0.000 0.000
0.250 0.750 0.500
0.500 0.500 0.000
0.750 0.250 0.500
```

Total magnetic moment: 4.46 μB per cell
Symmetry: No. 119
DOS(E_F): 6.041 states/eV/f.u.

---

iii | Material: BaSr2Mn
Method: DFT, PBE
State: relaxed

Cell and atoms, written as POSCAR:
```
BaSr2Mn
1.0
2.128 1.229 11.709
-2.128 1.229 11.709
0.000 -2.458 11.709
Ba Sr Mn
1 2 1
direct
0.000 0.000 0.000
0.228 0.228 0.228
0.772 0.772 0.772
0.500 0.500 0.500
```

Total magnetic moment: 3.64 μB per cell
Symmetry: No. 166
DOS(E_F): 3.678 states/eV/f.u.

---

Stability summary: most stable iii, least stable ii.

---

i | Material: BaSrMn3
Method: DFT, PBE
State: relaxed

Cell and atoms, written as POSCAR:
```
BaSrMn3
1.0
5.607 0.000 0.000
0.000 5.607 0.000
0.000 0.000 5.607
Ba Sr Mn
1 1 3
direct
0.000 0.000 0.000
0.500 0.500 0.500
0.000 0.000 0.500
0.000 0.500 0.000
0.500 0.000 0.000
```

Total magnetic moment: 12.37 μB per cell
Symmetry: No. 221
DOS(E_F): 11.297 states/eV/f.u.

---

ii | Material: BaSrMn3
Method: DFT, PBE
State: relaxed

Cell and atoms, written as POSCAR:
```
BaSrMn3
1.0
5.621 0.000 0.000
0.000 5.621 0.000
0.000 0.000 5.621
Ba Sr Mn
1 1 3
direct
0.000 0.000 0.000
0.500 0.500 0.500
0.000 0.500 0.500
0.500 0.000 0.500
0.500 0.500 0.000
```

Total magnetic moment: 12.12 μB per cell
Symmetry: No. 221
DOS(E_F): 5.507 states/eV/f.u.

---

Stability summary: most stable ii, least stable i.

---

i | Material: Ba2TaMn
Method: DFT, PBE
State: relaxed

Cell and atoms, written as POSCAR:
```
Ba2TaMn
1.0
2.385 -2.393 0.000
2.385 2.393 0.000
0.000 0.000 10.586
Ba Ta Mn
2 1 1
direct
0.000 0.000 0.249
0.000 0.000 0.751
0.500 0.500 0.000
0.500 0.500 0.500
```

Total magnetic moment: 4.65 μB per cell
Symmetry: No. 65
DOS(E_F): 5.767 states/eV/f.u.

---

ii | Material: Ba2TaMn
Method: DFT, PBE
State: relaxed

Cell and atoms, written as POSCAR:
```
Ba2TaMn
1.0
1.727 0.997 11.379
-1.727 0.997 11.379
0.000 -1.994 11.379
Ba Ta Mn
2 1 1
direct
0.250 0.250 0.250
0.750 0.750 0.750
0.000 0.000 0.000
0.500 0.500 0.500
```

Total magnetic moment: 4.41 μB per cell
Symmetry: No. 166
DOS(E_F): 4.884 states/eV/f.u.

---

iii | Material: Ba2TaMn
Method: DFT, PBE
State: relaxed

Cell and atoms, written as POSCAR:
```
Ba2TaMn
1.0
-1.903 2.930 5.815
1.903 -2.930 5.815
1.903 2.930 -5.815
Ba Ta Mn
2 1 1
direct
0.000 0.000 0.000
0.703 0.203 0.500
0.302 0.802 0.500
0.428 0.428 0.000
```

Total magnetic moment: 1.15 μB per cell
Symmetry: No. 44
DOS(E_F): 4.282 states/eV/f.u.

---

Stability summary: most stable iii, least stable ii.

---

i | Material: Ba2TaMn
Method: DFT, PBE
State: relaxed

Cell and atoms, written as POSCAR:
```
Ba2TaMn
1.0
3.658 -4.820 0.000
3.658 4.820 0.000
0.000 0.000 3.449
Ba Ta Mn
2 1 1
direct
0.000 0.500 0.000
0.500 0.000 0.000
0.000 0.000 0.500
0.500 0.500 0.500
```

Total magnetic moment: 3.77 μB per cell
Symmetry: No. 65
DOS(E_F): 5.131 states/eV/f.u.

---

ii | Material: Ba2TaMn
Method: DFT, PBE
State: relaxed

Cell and atoms, written as POSCAR:
```
Ba2TaMn
1.0
-1.722 1.939 9.781
1.722 -1.939 9.781
1.722 1.939 -9.781
Ba Ta Mn
2 1 1
direct
0.150 0.150 0.000
0.850 0.850 0.000
0.500 0.000 0.500
0.000 0.500 0.500
```

Total magnetic moment: 1.43 μB per cell
Symmetry: No. 71
DOS(E_F): 5.309 states/eV/f.u.

---

iii | Material: Ba2TaMn
Method: DFT, PBE
State: relaxed

Cell and atoms, written as POSCAR:
```
Ba2TaMn
1.0
5.975 0.000 0.000
0.000 5.975 0.000
0.000 0.000 3.496
Ba Ta Mn
2 1 1
direct
0.000 0.500 0.000
0.500 0.000 0.000
0.000 0.000 0.500
0.500 0.500 0.500
```

Total magnetic moment: 4.41 μB per cell
Symmetry: No. 123
DOS(E_F): 6.113 states/eV/f.u.

---

iv | Material: Ba2TaMn
Method: DFT, PBE
State: relaxed

Cell and atoms, written as POSCAR:
```
Ba2TaMn
1.0
0.000 3.858 3.858
3.858 0.000 3.858
3.858 3.858 0.000
Ba Ta Mn
2 1 1
direct
0.250 0.250 0.250
0.750 0.750 0.750
0.000 0.000 0.000
0.500 0.500 0.500
```

Total magnetic moment: 2.15 μB per cell
Symmetry: No. 225
DOS(E_F): 12.058 states/eV/f.u.

---

Stability summary: most stable ii, least stable iv.

---

i | Material: Ba2TaMn
Method: DFT, PBE
State: relaxed

Cell and atoms, written as POSCAR:
```
Ba2TaMn
1.0
3.554 0.000 0.000
0.000 3.554 0.000
0.000 0.000 9.982
Ba Ta Mn
2 1 1
direct
0.000 0.000 0.000
0.500 0.500 0.398
0.500 0.500 0.732
0.000 0.000 0.649
```

Total magnetic moment: 2.35 μB per cell
Symmetry: No. 99
DOS(E_F): 6.062 states/eV/f.u.

---

ii | Material: Ba2TaMn
Method: DFT, PBE
State: relaxed

Cell and atoms, written as POSCAR:
```
Ba2TaMn
1.0
-2.458 2.458 5.081
2.458 -2.458 5.081
2.458 2.458 -5.081
Ba Ta Mn
2 1 1
direct
0.250 0.750 0.500
0.750 0.250 0.500
0.000 0.000 0.000
0.500 0.500 0.000
```

Total magnetic moment: 2.74 μB per cell
Symmetry: No. 139
DOS(E_F): 5.822 states/eV/f.u.

---

Stability summary: most stable i, least stable ii.

---

i | Material: Ba2TaMn
Method: DFT, PBE
State: relaxed

Cell and atoms, written as POSCAR:
```
Ba2TaMn
1.0
3.389 0.000 0.000
0.000 5.164 0.000
-0.034 0.000 6.929
Ba Ta Mn
2 1 1
direct
0.002 0.000 0.250
0.998 0.000 0.750
0.500 0.500 0.000
0.500 0.500 0.500
```

Total magnetic moment: 2.98 μB per cell
Symmetry: No. 10
DOS(E_F): 5.750 states/eV/f.u.

---

ii | Material: Ba2TaMn
Method: DFT, PBE
State: relaxed

Cell and atoms, written as POSCAR:
```
Ba2TaMn
1.0
0.000 3.920 3.920
3.920 0.000 3.920
3.920 3.920 0.000
Ba Ta Mn
2 1 1
direct
0.000 0.000 0.000
0.250 0.250 0.250
0.750 0.750 0.750
0.500 0.500 0.500
```

Total magnetic moment: 1.35 μB per cell
Symmetry: No. 216
DOS(E_F): 3.568 states/eV/f.u.

---

Stability summary: most stable ii, least stable i.